[1]
The following is a DFT calculation (PBE) of a relaxed structure of Y2Si7Au12.

```
Y2Si7Au12
1.0
10.146 0.000 0.000
-5.073 8.787 0.000
0.000 0.000 4.351
Y Si Au
2 7 12
Cartesian
0.000 5.858 1.120
5.073 2.929 3.231
0.000 0.000 0.000
-0.857 3.484 3.401
-1.627 7.787 3.401
2.589 2.484 0.950
2.484 6.302 3.401
6.700 1.000 0.950
5.930 5.303 0.950
-2.345 5.395 3.238
-3.083 7.547 1.237
0.078 2.343 1.237
2.068 1.104 3.114
1.573 4.058 3.238
4.301 0.667 1.113
0.772 8.119 3.238
3.500 4.728 1.113
3.005 7.683 1.237
4.995 6.443 3.114
8.156 1.239 3.114
7.418 3.391 1.113
```

Output
formation energy (no corrections) = -0.22 eV/atom
N(E_F) = 6.2 states/eV per cell

[2]
The following is a DFT calculation (PBE) of a relaxed structure of Y2Si3Au9.

```
Y2Si3Au9
1.0
6.901 -4.004 0.000
6.901 4.004 0.000
-4.653 0.000 9.514
Y Si Au
4 6 18
Cartesian
1.138 0.667 2.345
-1.188 -0.667 7.102
10.336 0.667 2.412
8.010 -0.667 7.169
3.450 2.002 0.000
3.340 2.184 4.820
3.482 2.184 9.451
1.124 -2.002 4.757
5.667 -2.184 0.063
5.808 -2.184 4.694
5.704 3.369 0.795
5.771 3.369 3.962
4.035 1.569 2.505
1.106 0.678 5.466
0.993 0.779 8.805
3.411 1.198 7.136
3.432 -0.678 0.709
7.439 1.569 2.252
3.320 -0.779 4.047
5.828 0.779 5.467
1.709 -1.569 7.262
5.716 0.678 8.805
5.737 -1.198 2.379
8.155 -0.779 0.710
8.043 -0.678 4.048
5.113 -1.569 7.009
3.378 -3.369 5.552
3.444 -3.369 8.720
```

Output
formation energy (no corrections) = -0.40 eV/atom
N(E_F) = 10.4 states/eV per cell

[3]
The following is a DFT calculation (PBE) of a relaxed structure of YSiAu2.

```
YSiAu2
1.0
2.120 1.224 5.342
-2.120 1.224 5.342
0.000 -2.448 5.342
Y Si Au
1 1 2
Cartesian
0.000 0.000 0.000
0.000 0.000 8.013
0.000 0.000 3.580
0.000 0.000 12.446
```

Output
formation energy (no corrections) = -0.55 eV/atom
N(E_F) = 2.0 states/eV per cell